i | Computed, not measured: a relaxed structure of KPrHg2 at the GGA-PBE level of DFT.

Output
magnetic moment: 0.000 μB per atom
space group: Fm-3m, No. 225
N(E_F): 3.9 states/eV/cell

Cell: 5.548 5.548 5.548 Å, 60.00 60.00 60.00°
Atoms (fractional coordinates):
Pr: 0.000 0.000 0.000
K: 0.500 0.500 0.500
Hg: 0.250 0.250 0.250
Hg: 0.750 0.750 0.750



ii | Computed, not measured: a relaxed structure of KPrHg2 at the GGA-PBE level of DFT.

Output
magnetic moment: 0.099 μB per atom
space group: P4/mmm, No. 123
N(E_F): 3.0 states/eV/cell

Cell: 3.912 3.912 8.442 Å, 90.00 90.00 90.00°
Atoms (fractional coordinates):
Pr: 0.500 0.500 0.000
K: 0.500 0.500 0.500
Hg: 0.000 0.000 0.788
Hg: 0.000 0.000 0.212



Q: Which of them is the least stable? A: i.



i | Computed, not measured: a relaxed structure of KHg4Pt at the GGA-PBE level of DFT.

Output
magnetic moment: 0.000 μB per atom
space group: P4/mmm, No. 123
N(E_F): 2.3 states/eV/cell

Cell: 5.343 5.343 8.075 Å, 90.00 90.00 90.00°
Atoms (fractional coordinates):
K: 0.000 0.000 0.000
Hg: 0.500 0.500 0.825
Hg: 0.500 0.500 0.175
Hg: 0.500 0.000 0.500
Hg: 0.000 0.500 0.500
Pt: 0.500 0.500 0.500



ii | Computed, not measured: a relaxed structure of KHg4Pt at the GGA-PBE level of DFT.

Output
magnetic moment: 0.000 μB per atom
space group: F-43m, No. 216
N(E_F): 4.1 states/eV/cell

Cell: 5.956 5.956 5.956 Å, 60.00 60.00 60.00°
Atoms (fractional coordinates):
K: 0.750 0.750 0.750
Hg: 0.374 0.877 0.374
Hg: 0.877 0.374 0.374
Hg: 0.374 0.374 0.877
Hg: 0.374 0.374 0.374
Pt: 0.000 0.000 0.000



Q: Which of them is the least stable? A: ii.



i | Computed, not measured: a relaxed structure of K2HgPt2 at the GGA-PBE level of DFT.

Output
magnetic moment: 0.000 μB per atom
space group: I4/mmm, No. 139
N(E_F): 1.8 states/eV/cell

Cell: 6.381 6.381 5.970 Å, 57.70 57.70 90.00°
Atoms (fractional coordinates):
K: 0.750 0.250 0.500
K: 0.250 0.750 0.500
Hg: 0.000 0.000 0.000
Pt: 0.339 0.339 0.322
Pt: 0.661 0.661 0.678



ii | Computed, not measured: a relaxed structure of K2HgPt2 at the GGA-PBE level of DFT.

Output
magnetic moment: 0.000 μB per atom
space group: Immm, No. 71
N(E_F): 2.6 states/eV/cell

Cell: 4.753 5.471 6.309 Å, 115.69 112.13 90.00°
Atoms (fractional coordinates):
K: 0.797 0.297 0.594
K: 0.203 0.703 0.406
Hg: 0.000 0.000 0.000
Pt: 0.500 0.738 0.000
Pt: 0.500 0.262 0.000



iii | Computed, not measured: a relaxed structure of K2HgPt2 at the GGA-PBE level of DFT.

Output
magnetic moment: 0.000 μB per atom
space group: P4/mbm, No. 127
N(E_F): 1.9 states/eV/cell

Cell: 7.016 7.016 5.255 Å, 90.00 90.00 90.00°
Atoms (fractional coordinates):
K: 0.173 0.673 0.500
K: 0.673 0.827 0.500
K: 0.827 0.327 0.500
K: 0.327 0.173 0.500
Hg: 0.000 0.000 0.000
Hg: 0.500 0.500 0.000
Pt: 0.370 0.870 0.000
Pt: 0.870 0.630 0.000
Pt: 0.630 0.130 0.000
Pt: 0.130 0.370 0.000



Q: Which of them is the least stable? A: i.



i | Computed, not measured: a relaxed structure of K4Hg2Pt at the GGA-PBE level of DFT.

Output
magnetic moment: 0.000 μB per atom
space group: I4/mmm, No. 139
N(E_F): 5.2 states/eV/cell

Cell: 6.194 6.194 9.577 Å, 108.87 108.87 90.00°
Atoms (fractional coordinates):
K: 0.818 0.818 0.637
K: 0.182 0.182 0.363
K: 0.000 0.500 0.000
K: 0.500 0.000 0.000
Hg: 0.606 0.606 0.213
Hg: 0.394 0.394 0.787
Pt: 0.000 0.000 0.000



ii | Computed, not measured: a relaxed structure of K4Hg2Pt at the GGA-PBE level of DFT.

Output
magnetic moment: 0.000 μB per atom
space group: R-3m, No. 166
N(E_F): 3.2 states/eV/cell

Cell: 5.663 5.663 10.822 Å, 74.83 74.83 60.00°
Atoms (fractional coordinates):
K: 0.363 0.363 0.911
K: 0.207 0.207 0.380
K: 0.793 0.793 0.620
K: 0.637 0.637 0.089
Hg: 0.087 0.087 0.738
Hg: 0.913 0.913 0.262
Pt: 0.000 0.000 0.000



Q: Which of them is the least stable? A: i.



i | Computed, not measured: a relaxed structure of K2RbHgPt at the GGA-PBE level of DFT.

Output
magnetic moment: 0.000 μB per atom
space group: P4/mmm, No. 123
N(E_F): 3.9 states/eV/cell

Cell: 6.178 6.178 5.477 Å, 90.00 90.00 90.00°
Atoms (fractional coordinates):
K: 0.000 0.500 0.000
K: 0.500 0.000 0.000
Rb: 0.500 0.500 0.500
Hg: 0.000 0.000 0.500
Pt: 0.000 0.000 0.000



ii | Computed, not measured: a relaxed structure of K2RbHgPt at the GGA-PBE level of DFT.

Output
magnetic moment: 0.000 μB per atom
space group: P4/mmm, No. 123
N(E_F): 4.7 states/eV/cell

Cell: 6.176 6.176 6.454 Å, 90.00 90.00 90.00°
Atoms (fractional coordinates):
K: 0.000 0.500 0.000
K: 0.500 0.000 0.000
Rb: 0.000 0.000 0.500
Hg: 0.500 0.500 0.500
Pt: 0.000 0.000 0.000



Q: Which of them is the least stable? A: ii.



i | Computed, not measured: a relaxed structure of KTl2HgPt at the GGA-PBE level of DFT.

Output
magnetic moment: 0.000 μB per atom
space group: P4/mmm, No. 123
N(E_F): 3.0 states/eV/cell

Cell: 5.302 5.302 6.266 Å, 90.00 90.00 90.00°
Atoms (fractional coordinates):
K: 0.000 0.000 0.500
Tl: 0.000 0.500 0.000
Tl: 0.500 0.000 0.000
Hg: 0.500 0.500 0.500
Pt: 0.000 0.000 0.000



ii | Computed, not measured: a relaxed structure of KTl2HgPt at the GGA-PBE level of DFT.

Output
magnetic moment: 0.000 μB per atom
space group: P4/mmm, No. 123
N(E_F): 3.2 states/eV/cell

Cell: 5.392 5.392 5.450 Å, 90.00 90.00 90.00°
Atoms (fractional coordinates):
K: 0.500 0.500 0.500
Tl: 0.000 0.500 0.000
Tl: 0.500 0.000 0.000
Hg: 0.000 0.000 0.500
Pt: 0.000 0.000 0.000



Q: Which of them is the least stable? A: i.